1.
VASP calculation (GGA-PBE) on a geometry-optimized Te4Rh structure.

Summary:
For the energy above the most stable polymorph in this dataset, the calculation gives 191.4 meV/atom. Its total magnetic moment is 0.000 μB/atom. The space-group type is Im-3m. Its uncorrected formation energy is 0.11 eV/atom. Its calculated volume is 141.15 Å³/f.u. The value obtained for the uncorrected energy is -3.88 eV/atom.

Unit cell a=6.560 b=6.560 c=6.560 alpha=90.00 beta=90.00 gamma=90.00
Atoms (fractional coordinates):
1 Te 0.250 0.250 0.250
2 Te 0.250 0.250 0.750
3 Te 0.250 0.750 0.250
4 Te 0.250 0.750 0.750
5 Te 0.750 0.250 0.250
6 Te 0.750 0.250 0.750
7 Te 0.750 0.750 0.250
8 Te 0.750 0.750 0.750
9 Rh 0.000 0.000 0.000
10 Rh 0.500 0.500 0.500

=====

2.
VASP calculation (GGA-PBE) on a geometry-optimized ScCd2Cl structure.

Summary:
For the energy above the most stable polymorph in this dataset, the calculation gives 221.6 meV/atom. Its total magnetic moment is 0.000 μB/atom. The space-group type is I4/mmm. Its uncorrected formation energy is -0.37 eV/atom. Its calculated volume is 89.69 Å³/f.u. The value obtained for the uncorrected energy is -2.87 eV/atom.

Unit cell a=3.965 b=3.965 c=11.408 alpha=90.00 beta=90.00 gamma=90.00
Atoms (fractional coordinates):
1 Sc 0.000 0.000 0.000
2 Sc 0.500 0.500 0.500
3 Cd 0.000 0.500 0.250
4 Cd 0.000 0.500 0.750
5 Cd 0.500 0.000 0.250
6 Cd 0.500 0.000 0.750
7 Cl 0.000 0.000 0.500
8 Cl 0.500 0.500 0.000

=====

3.
VASP calculation (GGA-PBE) on a geometry-optimized Ac3LaPr12 structure.

Summary:
Its total magnetic moment is 0.000 μB/atom. The space-group type is P4/mmm. The calculated formation energy is 14.4 meV per atom. Its calculated volume is 604.05 Å³/f.u. The value obtained for the uncorrected energy is -4.65 eV/atom.

Unit cell a=5.328 b=5.328 c=21.280 alpha=90.00 beta=90.00 gamma=90.00
Atoms (fractional coordinates):
1 Ac 0.000 0.000 0.000
2 Ac 0.000 0.000 0.252
3 Ac 0.000 0.000 0.748
4 La 0.000 0.000 0.500
5 Pr 0.000 0.500 0.126
6 Pr 0.000 0.500 0.378
7 Pr 0.000 0.500 0.622
8 Pr 0.000 0.500 0.874
9 Pr 0.500 0.000 0.126
10 Pr 0.500 0.000 0.378
11 Pr 0.500 0.000 0.622
12 Pr 0.500 0.000 0.874
13 Pr 0.500 0.500 0.000
14 Pr 0.500 0.500 0.252
15 Pr 0.500 0.500 0.500
16 Pr 0.500 0.500 0.748

=====

Question: Look up the calculated volume of the first one.
Answer: 141.15 Å³/f.u.

=====

Question: Number 3 is which compound?
Answer: Ac3LaPr12